First-principles (PBE+U) data for crystalline CoPOsO at its relaxed geometry, as listed in OQMD.

```
CoPOsO
1.0
3.526 0.000 0.000
0.000 3.526 0.000
0.000 0.000 6.887
Os P Co O
2 2 2 2
direct
0.500 0.000 0.194
0.000 0.500 0.806
0.500 0.000 0.690
0.000 0.500 0.310
0.000 0.000 0.500
0.500 0.500 0.500
0.500 0.500 0.000
0.000 0.000 0.000
```

Computed properties:
Crystal system   tetragonal
Magnetization   0.65 μB per formula unit
Total energy   -6.54 eV per atom
Space-group type   P4/nmm